No. 1
Entry from Alexandria via LeMat-Bulk: TlCu2As after structural relaxation (PBE).

Results
total magnetization	0.000	μB per atom
symmetry	Pmmm

Cell: 3.673 4.084 4.709 Å, 90.00 90.00 90.00°
Sites, in units of the cell vectors:
Tl  0.000  0.000  0.000
Cu  0.500  0.000  0.500
Cu  0.500  0.500  0.000
As  0.000  0.500  0.500

No. 2
Entry from Alexandria via LeMat-Bulk: TlCu2As after structural relaxation (PBE).

Results
total magnetization	0.000	μB per atom
symmetry	P2/m

Cell: 3.388 3.111 7.186 Å, 90.00 102.41 90.00°
Sites, in units of the cell vectors:
Tl  0.000  0.000  0.000
Cu  0.430  0.500  0.315
Cu  0.570  0.500  0.685
As  0.000  0.000  0.500

No. 3
Entry from Alexandria via LeMat-Bulk: TlCuAs2 after structural relaxation (PBE).

Results
total magnetization	0.000	μB per atom
symmetry	C2/m
excess energy over the best structure of this formula in the dataset	409	meV/atom

Cell: 5.746 5.746 3.035 Å, 90.34 90.34 123.52°
Sites, in units of the cell vectors:
Tl  0.000  0.000  0.000
Cu  0.500  0.500  0.000
As  0.000  0.500  0.500
As  0.500  0.000  0.500

No. 4
Entry from Alexandria via LeMat-Bulk: TlCuAs2 after structural relaxation (PBE).

Results
total magnetization	0.000	μB per atom
symmetry	R-3m
excess energy over the best structure of this formula in the dataset	187	meV/atom

Cell: 9.418 9.418 9.418 Å, 19.78 19.78 19.78°
Sites, in units of the cell vectors:
Tl  0.000  0.000  0.000
Cu  0.500  0.500  0.500
As  0.229  0.229  0.229
As  0.771  0.771  0.771

No. 5
Entry from Alexandria via LeMat-Bulk: TlCuAs2 after structural relaxation (PBE).

Results
total magnetization	0.000	μB per atom
symmetry	P4mm
excess energy over the best structure of this formula in the dataset	215	meV/atom

Cell: 3.406 3.406 7.274 Å, 90.00 90.00 90.00°
Sites, in units of the cell vectors:
Tl  0.000  0.000  0.000
Cu  0.500  0.500  0.720
As  0.000  0.000  0.553
As  0.500  0.500  0.371

No. 6
Entry from Alexandria via LeMat-Bulk: Tl2ZnCuAs2 after structural relaxation (PBE).

Results
total magnetization	0.000	μB per atom
symmetry	Ibam

Cell: 9.712 9.712 9.712 Å, 146.42 48.78 145.67°
Sites, in units of the cell vectors:
Tl  0.174  0.240  0.414
Tl  0.326  0.740  0.067
Tl  0.674  0.260  0.933
Tl  0.826  0.760  0.586
Zn  0.250  0.250  0.000
Zn  0.750  0.750  0.000
Cu  0.250  0.750  0.500
Cu  0.750  0.250  0.500
As  0.089  0.737  0.826
As  0.411  0.237  0.648
As  0.589  0.763  0.352
As  0.911  0.263  0.174

| no. | ΔH_f (0 K) (eV per atom) |
| --- | --- |
| 1 | 0.3417 |
| 2 | 0.2411 |
| 3 | 0.4379 |
| 4 | 0.2165 |
| 5 | 0.2439 |
| 6 | -0.0413 |